PBE Yb2TeO2, relaxed; distance to the lowest polymorph of the same formula = 0.0 meV/atom; DFT total energy = -5.635 eV/atom; ΔE_f (raw) = -2413 meV/atom; D(E_F) = 22.5 states/eV per cell
1.0
1.896 -3.283 0.000
1.896 3.283 0.000
0.000 0.000 8.009
Yb O Te
2 2 1
direct
0.667 0.333 0.671 Yb
0.333 0.667 0.329 Yb
0.333 0.667 0.618 O
0.667 0.333 0.382 O
0.000 0.000 0.000 Te

=====

PBE ZnTe6O13, relaxed; DFT total energy = -5.286 eV/atom; ΔE_f (raw) = -1057 meV/atom; D(E_F) = 0.0 states/eV per cell
1.0
8.808 0.002 0.002
2.747 8.369 0.002
2.747 1.990 8.129
Te O Zn
12 26 2
direct
0.666 0.058 0.988 Te
0.175 0.578 0.468 Te
0.532 0.825 0.422 Te
0.058 0.988 0.666 Te
0.988 0.666 0.058 Te
0.578 0.468 0.175 Te
0.334 0.942 0.012 Te
0.825 0.422 0.532 Te
0.012 0.334 0.942 Te
0.422 0.532 0.825 Te
0.942 0.012 0.334 Te
0.468 0.175 0.578 Te
0.944 0.200 0.698 O
0.297 0.374 0.613 O
0.912 0.912 0.912 O
0.081 0.398 0.101 O
0.088 0.088 0.088 O
0.613 0.297 0.374 O
0.200 0.698 0.944 O
0.800 0.302 0.056 O
0.101 0.081 0.398 O
0.374 0.613 0.297 O
0.115 0.456 0.363 O
0.703 0.626 0.387 O
0.056 0.800 0.302 O
0.919 0.602 0.899 O
0.899 0.919 0.602 O
0.398 0.101 0.081 O
0.626 0.387 0.703 O
0.698 0.944 0.200 O
0.363 0.115 0.456 O
0.544 0.637 0.885 O
0.637 0.885 0.544 O
0.456 0.363 0.115 O
0.602 0.899 0.919 O
0.302 0.056 0.800 O
0.387 0.703 0.626 O
0.885 0.544 0.637 O
0.743 0.743 0.743 Zn
0.257 0.257 0.257 Zn

=====

PBE ZnTe2O, relaxed; distance to the lowest polymorph of the same formula = 420.4 meV/atom; DFT total energy = -2.839 eV/atom; ΔE_f (raw) = 290 meV/atom; D(E_F) = 2.6 states/eV per cell
1.0
-0.319 2.039 4.229
-3.594 -1.047 2.851
0.747 -2.532 3.895
Zn O Te
1 1 2
direct
0.500 0.500 0.500 Zn
0.000 0.000 0.000 O
0.750 0.750 0.750 Te
0.250 0.250 0.250 Te

=====

PBE Zn3TeO6, relaxed; distance to the lowest polymorph of the same formula = 19.1 meV/atom; DFT total energy = -4.927 eV/atom; ΔE_f (raw) = -1256 meV/atom
1.0
6.177 0.087 -0.049
-0.050 6.178 -0.049
0.085 0.087 6.177
Zn O Te
6 12 2
direct
0.461 0.938 0.755 Zn
0.755 0.461 0.938 Zn
0.245 0.539 0.062 Zn
0.062 0.245 0.539 Zn
0.539 0.062 0.245 Zn
0.938 0.755 0.461 Zn
0.545 0.413 0.198 O
0.587 0.802 0.455 O
0.068 0.940 0.697 O
0.198 0.545 0.413 O
0.303 0.932 0.060 O
0.940 0.697 0.068 O
0.697 0.068 0.940 O
0.060 0.303 0.932 O
0.413 0.198 0.545 O
0.455 0.587 0.802 O
0.932 0.060 0.303 O
0.802 0.455 0.587 O
0.500 0.500 0.500 Te
0.000 0.000 0.000 Te

=====

What is the formula in the second record?
ZnTe6O13

=====

Please write out number 4 again, unchanged.
PBE Zn3TeO6, relaxed; distance to the lowest polymorph of the same formula = 19.1 meV/atom; DFT total energy = -4.927 eV/atom; ΔE_f (raw) = -1256 meV/atom
1.0
6.177 0.087 -0.049
-0.050 6.178 -0.049
0.085 0.087 6.177
Zn O Te
6 12 2
direct
0.461 0.938 0.755 Zn
0.755 0.461 0.938 Zn
0.245 0.539 0.062 Zn
0.062 0.245 0.539 Zn
0.539 0.062 0.245 Zn
0.938 0.755 0.461 Zn
0.545 0.413 0.198 O
0.587 0.802 0.455 O
0.068 0.940 0.697 O
0.198 0.545 0.413 O
0.303 0.932 0.060 O
0.940 0.697 0.068 O
0.697 0.068 0.940 O
0.060 0.303 0.932 O
0.413 0.198 0.545 O
0.455 0.587 0.802 O
0.932 0.060 0.303 O
0.802 0.455 0.587 O
0.500 0.500 0.500 Te
0.000 0.000 0.000 Te

=====

What is the DFT total energy in the fourth record?
-4.927 eV/atom